# PaAlCr

A relaxed PaAlCr crystal (PBE-GGA, Alexandria via LeMat-Bulk).

Summary:
* calculated formation energy: -0.17 eV per atom
* crystal system: monoclinic
* E above lowest polymorph: 0 meV/atom
* DOS(E_F): 6.26 states/eV/cell
* final energy: -46.71 eV for the cell shown

a = 4.576 Å, b = 5.842 Å, c = 4.656 Å
α = 77.77°, β = 90.00°, γ = 66.95°
Fractional coordinates of all 6 atoms:
Al (0.423, 0.160, 0.712)
Al (0.581, 0.843, 0.292)
Pa (0.873, 0.261, 0.191)
Cr (0.812, 0.381, 0.642)
Cr (0.192, 0.622, 0.362)
Pa (0.132, 0.743, 0.813)